(1)
# LiDyBr3 | the Alexandria database | PBE-GGA | relaxed
data_LiDyBr3
_chemical_formula_sum 'Li2 Dy2 Br6'
_cell_length_a 6.509
_cell_length_b 6.898
_cell_length_c 7.837
_cell_angle_alpha 65.32
_cell_angle_beta 69.17
_cell_angle_gamma 63.35
_space_group_name_H-M_alt 'P -1'
_space_group_IT_number 2
_space_group_name_Hall '-P 1'
loop_
_atom_site_label
_atom_site_type_symbol
_atom_site_fract_x
_atom_site_fract_y
_atom_site_fract_z
Li1 Li 0.124 0.181 0.050
Dy1 Dy 0.323 0.368 0.491
Br1 Br 0.066 0.777 0.232
Br2 Br 0.257 0.547 0.787
Br3 Br 0.405 0.073 0.274
# - M_tot (μB per cell) = 2.01
# - energy relative to the elements, uncorrected (eV per formula unit) = -7.44
# - calculated total energy (eV per formula unit) = -19.0

---

(2)
# Sm6CdAg3 | the Alexandria database | PBE-GGA | relaxed
data_Sm6CdAg3
_chemical_formula_sum 'Sm12 Cd2 Ag6'
_cell_length_a 9.287
_cell_length_b 5.161
_cell_length_c 12.114
_cell_angle_alpha 90.00
_cell_angle_beta 104.73
_cell_angle_gamma 90.00
_space_group_name_H-M_alt 'P 1 21/m 1'
_space_group_IT_number 11
_space_group_name_Hall '-P 2yb'
loop_
_atom_site_label
_atom_site_type_symbol
_atom_site_fract_x
_atom_site_fract_y
_atom_site_fract_z
Sm1 Sm 0.017 0.250 0.109
Sm2 Sm 0.150 0.250 0.714
Sm3 Sm 0.215 0.750 0.513
Sm4 Sm 0.359 0.750 0.108
Sm5 Sm 0.366 0.250 0.347
Sm6 Sm 0.379 0.750 0.839
Cd1 Cd 0.441 0.250 0.631
Ag1 Ag 0.041 0.250 0.367
Ag2 Ag 0.160 0.750 0.259
Ag3 Ag 0.279 0.250 0.971
# - M_tot (μB per cell) = 0.00
# - calculated total energy (eV per formula unit) = -39.5
# - E_form (eV/atom) = -0.1732

---

(3)
# Er7Tm3In2 | the Alexandria database | PBE-GGA | relaxed
data_Er7Tm3In2
_chemical_formula_sum 'Er7 Tm3 In2'
_cell_length_a 5.525
_cell_length_b 3.544
_cell_length_c 18.221
_cell_angle_alpha 90.00
_cell_angle_beta 93.77
_cell_angle_gamma 90.00
_space_group_name_H-M_alt 'P 1 2/m 1'
_space_group_IT_number 10
_space_group_name_Hall '-P 2y'
loop_
_atom_site_label
_atom_site_type_symbol
_atom_site_fract_x
_atom_site_fract_y
_atom_site_fract_z
Er1 Er 0.000 0.000 0.000
Er2 Er 0.168 0.500 0.173
Er3 Er 0.259 0.500 0.541
Er4 Er 0.335 0.000 0.853
Tm1 Tm 0.223 0.000 0.368
Tm2 Tm 0.500 0.500 0.000
In1 In 0.299 0.500 0.708
# - M_tot (μB per cell) = 0.00
# - calculated total energy (eV per formula unit) = -51.4
# - E_form (eV/atom) = -0.0443

---

(4)
# PuUTcW | the Alexandria database | PBE-GGA | relaxed
data_PuUTcW
_chemical_formula_sum 'Pu4 U4 Tc4 W4'
_cell_length_a 6.622
_cell_length_b 6.622
_cell_length_c 6.622
_cell_angle_alpha 90.00
_cell_angle_beta 90.00
_cell_angle_gamma 90.00
_space_group_name_H-M_alt 'F -4 3 m'
_space_group_IT_number 216
_space_group_name_Hall 'F -4 2 3'
loop_
_atom_site_label
_atom_site_type_symbol
_atom_site_fract_x
_atom_site_fract_y
_atom_site_fract_z
Pu1 Pu 0.000 0.000 0.000
U1 U 0.250 0.250 0.750
Tc1 Tc 0.250 0.250 0.250
W1 W 0.000 0.000 0.500
# - M_tot (μB per cell) = 21.65
# - calculated total energy (eV per formula unit) = -48.2
# - E_form (eV/atom) = 0.1856

---

(5)
# AcCr2Si2C | the Alexandria database | PBE-GGA | relaxed
data_AcCr2Si2C
_chemical_formula_sum 'Ac1 Cr2 Si2 C1'
_cell_length_a 4.059
_cell_length_b 4.059
_cell_length_c 5.643
_cell_angle_alpha 90.00
_cell_angle_beta 90.00
_cell_angle_gamma 90.00
_space_group_name_H-M_alt 'P 4/m m m'
_space_group_IT_number 123
_space_group_name_Hall '-P 4 2'
loop_
_atom_site_label
_atom_site_type_symbol
_atom_site_fract_x
_atom_site_fract_y
_atom_site_fract_z
Ac1 Ac 0.000 0.000 0.000
Cr1 Cr 0.000 0.500 0.500
Si1 Si 0.500 0.500 0.253
C1 C 0.000 0.000 0.500
# - M_tot (μB per cell) = 1.18
# - energy relative to the elements, uncorrected (eV per formula unit) = -1.99
# - calculated total energy (eV per formula unit) = -45.4